Entry 1:
{
  "formula": "MgPd",
  "functional": "GGA-PBE",
  "state": "optimized geometry",
  "cell": [[4.683, 0.000, 0.000], [0.000, 7.212, 2.467], [0.000, -7.212, 2.467]],
  "species": ["Mg", "Mg", "Mg", "Mg", "Mg", "Pd", "Pd", "Pd", "Pd", "Pd"],
  "fractional_positions": [[0.000, 0.000, 0.000], [0.000, 0.356, 0.588], [0.000, 0.588, 0.356], [0.500, 0.723, 0.950], [0.500, 0.950, 0.723], [0.000, 0.171, 0.786], [0.000, 0.786, 0.171], [0.500, 0.125, 0.521], [0.500, 0.349, 0.349], [0.500, 0.521, 0.125]],
  "space_group": "Amm2"
}



Entry 2:
{
  "formula": "TlPtF6",
  "functional": "GGA-PBE",
  "state": "optimized geometry",
  "cell": [[3.093, -3.585, 0.000], [3.093, 3.585, 0.000], [-1.020, 0.000, 4.614]],
  "species": ["Tl", "Pt", "F", "F", "F", "F", "F", "F"],
  "fractional_positions": [[0.000, 0.000, 0.000], [0.500, 0.500, 0.500], [0.199, 0.199, 0.562], [0.199, 0.559, 0.200], [0.441, 0.801, 0.800], [0.559, 0.199, 0.200], [0.801, 0.441, 0.800], [0.801, 0.801, 0.438]],
  "magmom_total_mub_per_atom": 0.00,
  "space_group": "C2/m"
}



Entry 3:
{
  "formula": "NdAuO3",
  "functional": "GGA-PBE",
  "state": "optimized geometry",
  "cell": [[4.078, 0.000, 0.000], [0.000, 4.078, 0.000], [0.000, 0.000, 4.409]],
  "species": ["Nd", "Au", "O", "O", "O"],
  "fractional_positions": [[0.000, 0.000, 0.000], [0.500, 0.500, 0.607], [0.000, 0.500, 0.685], [0.500, 0.000, 0.685], [0.500, 0.500, 0.112]],
  "magmom_total_mub_per_atom": 0.00,
  "space_group": "P4mm"
}



Total DFT energy (no corrections) in eV per cell, matching the order above: -38.931; -31.242; -29.505